Compound: NpTePt4
Source: Alexandria via LeMat-Bulk
Functional: PBE
Structure: optimized geometry

energy relative to the elements, uncorrected: -212 kJ/mol of formula units

Cell: 5.4370 5.4370 5.4370 Å, 60.00 60.00 60.00°
Last column: nearest neighbours and their distance in Å.
Fractional positions:
1 Np 0.0000 0.0000 0.0000  12 Pt 3.19, 4 Te 3.33
2 Te 0.2500 0.2500 0.2500  12 Pt 3.19, 4 Np 3.33
3 Pt 0.6256 0.6256 0.1232  6 Pt 2.71-2.73
4 Pt 0.6256 0.1232 0.6256  6 Pt 2.71-2.73
5 Pt 0.6256 0.6256 0.6256  6 Pt 2.71-2.73
6 Pt 0.1232 0.6256 0.6256  6 Pt 2.71-2.73